Entry 1:
# AcPmNd3Er

A relaxed structure of AcPmNd3Er (PBE, the Alexandria database).

The structure in POSCAR format:
```
AcPmNd3Er
1.0
-0.930 4.753 3.374
-8.190 -6.735 2.067
3.935 -2.911 5.186
Nd Pm Er Ac
6 2 2 2
Direct
0.516 0.032 0.741
0.219 0.437 0.274
0.160 0.321 0.740
0.781 0.563 0.726
0.484 0.968 0.259
0.840 0.679 0.260
0.056 0.112 0.285
0.944 0.888 0.715
0.357 0.714 0.513
0.643 0.286 0.487
0.648 0.296 0.031
0.352 0.704 0.969
```

Properties
Theoretical density = 7.38 g cm⁻³
V = 36.44 Å³/atom
Symmetry = C2/m, No. 12
Spin magnetization = 0.00 μB per formula unit
ΔE_f = 196 meV/atom

Entry 2:
# Zr3Al3Ni2

A relaxed structure of Zr3Al3Ni2 (PBE, the Alexandria database).

The structure in POSCAR format:
```
Zr3Al3Ni2
1.0
-3.859 6.553 -1.613
-1.829 -4.131 6.327
3.443 2.708 2.764
Ni Al Zr
4 6 6
Direct
0.333 0.667 0.500
0.333 0.667 0.000
0.667 0.333 0.500
0.667 0.333 0.000
0.585 0.000 0.250
0.000 0.415 0.750
0.415 0.415 0.250
0.585 0.585 0.750
0.415 0.000 0.750
0.000 0.585 0.250
0.000 0.234 0.250
0.766 0.000 0.750
0.766 0.766 0.250
0.234 0.000 0.250
0.000 0.766 0.750
0.234 0.234 0.750
```

Properties
Theoretical density = 5.78 g cm⁻³
V = 16.95 Å³/atom
Symmetry = P6_3/mcm, No. 193
Spin magnetization = 0.00 μB per formula unit
ΔE_f = -386 meV/atom
Energy above the lowest structure with this stoichiometry = 13.70 kJ per mole of atoms

Entry 3:
# LaCePb6

A relaxed structure of LaCePb6 (PBE, the Alexandria database).

The structure in POSCAR format:
```
LaCePb6
1.0
-2.780 2.159 3.462
-3.618 -3.241 -0.885
3.776 -6.077 6.821
Pb Ce La
6 1 1
Direct
0.000 0.500 0.747
0.500 0.500 0.500
0.500 0.500 0.000
0.500 0.000 0.747
0.000 0.500 0.253
0.500 0.000 0.253
0.000 0.000 0.500
0.000 0.000 0.000
```

Properties
Theoretical density = 10.49 g cm⁻³
V = 30.12 Å³/atom
Symmetry = P4/mmm, No. 123
Spin magnetization = 1.06 μB per formula unit
ΔE_f = -397 meV/atom

Entry 4:
# Os3Se

A relaxed structure of Os3Se (PBE, the Alexandria database).

The structure in POSCAR format:
```
Os3Se
1.0
-0.971 4.339 2.837
1.379 0.121 5.089
1.505 -0.488 -5.031
Se Os
1 3
Direct
0.500 0.000 0.500
0.000 0.500 0.500
0.726 0.726 0.000
0.274 0.274 0.000
```

Properties
Theoretical density = 18.26 g cm⁻³
V = 14.77 Å³/atom
Symmetry = Immm, No. 71
Spin magnetization = 0.00 μB per formula unit
Energy above the lowest structure with this stoichiometry = 19.20 kJ per mole of atoms
Raw formation energy = 731.7 meV/atom

Entry 5:
# Ac4GaHgI2

A relaxed structure of Ac4GaHgI2 (PBE, the Alexandria database).

The structure in POSCAR format:
```
Ac4GaHgI2
1.0
4.726 0.000 0.000
0.000 8.310 0.190
0.000 -2.859 7.799
Ac I Hg Ga
4 2 1 1
Direct
0.000 0.270 0.787
0.500 0.753 0.782
0.500 0.247 0.218
0.000 0.730 0.213
0.500 0.000 0.500
0.000 0.500 0.500
0.000 0.000 0.000
0.500 0.500 0.000
```

Properties
Theoretical density = 7.70 g cm⁻³
V = 38.61 Å³/atom
Symmetry = P2/m, No. 10
Spin magnetization = 0.00 μB per formula unit
Raw formation energy = -713.2 meV/atom

Entry 6:
# ThZrNbPd

A relaxed structure of ThZrNbPd (PBE, the Alexandria database).

The structure in POSCAR format:
```
ThZrNbPd
1.0
-0.992 -1.028 -4.743
2.019 -3.982 -2.146
-2.833 -3.898 -1.150
Pd Zr Th Nb
1 1 1 1
Direct
0.000 0.000 0.000
0.250 0.250 0.250
0.750 0.750 0.750
0.500 0.500 0.500
```

Properties
Theoretical density = 10.09 g cm⁻³
V = 21.49 Å³/atom
Symmetry = F-43m, No. 216
Spin magnetization = 0.00 μB per formula unit
ΔE_f = -210 meV/atom

Entry 7:
# AcDyY4

A relaxed structure of AcDyY4 (PBE, the Alexandria database).

The structure in POSCAR format:
```
AcDyY4
1.0
-1.779 0.469 -6.035
3.826 -2.031 -4.587
-5.613 -10.174 4.164
Y Ac Dy
8 2 2
Direct
0.580 0.750 0.750
0.750 0.580 0.250
0.166 0.667 0.499
0.333 0.834 0.001
0.834 0.333 0.501
0.420 0.250 0.250
0.250 0.420 0.750
0.667 0.166 0.999
0.000 0.500 0.000
0.500 0.000 0.500
0.080 0.920 0.250
0.920 0.080 0.750
```

Properties
Theoretical density = 6.09 g cm⁻³
V = 33.86 Å³/atom
Symmetry = C2/c, No. 15
Spin magnetization = 0.00 μB per formula unit
ΔE_f = 27 meV/atom
Energy above the lowest structure with this stoichiometry = 0.00 kJ per mole of atoms

Entry 8:
# Nd4Cd5Ni2

A relaxed structure of Nd4Cd5Ni2 (PBE, the Alexandria database).

The structure in POSCAR format:
```
Nd4Cd5Ni2
1.0
-1.558 3.360 0.269
-4.779 -1.744 -5.888
-6.025 -3.331 6.729
Ni Cd Nd
2 5 4
Direct
0.000 0.936 0.371
0.000 0.064 0.629
0.000 0.553 0.318
0.000 0.500 0.000
0.000 0.447 0.682
0.000 0.815 0.848
0.000 0.185 0.152
0.500 0.225 0.445
0.500 0.775 0.555
0.500 0.166 0.846
0.500 0.834 0.154
```

Properties
Theoretical density = 7.52 g cm⁻³
V = 25.23 Å³/atom
Symmetry = P2/m, No. 10
Spin magnetization = 0.00 μB per formula unit
ΔE_f = -315 meV/atom

Listing VASP energy for the structures above in their given order: -4.43; -6.44; -4.54; -8.56; -3.57; -8.02; -5.73; -3.52 eV per atom.